Run P
Density functional theory data (PBE) for a relaxed SrAcAl crystal.

Output
As for the density of states at the Fermi level: 0.69 states/eV/atom.

Cell: 5.5431 5.5431 4.0361 Å, 90.00 90.00 120.00°
Element x y z (fractional)
Sr 0.0000 0.0000 0.0000
Ac 0.6667 0.3333 0.4424
Al 0.3333 0.6667 0.7285


Run Q
Density functional theory data (PBE) for a relaxed SrAcAl crystal.

Output
As for the density of states at the Fermi level: 1.23 states/eV/atom.

Cell: 11.4514 11.4514 4.4312 Å, 90.00 90.00 155.84°
Element x y z (fractional)
Sr 0.1908 0.8092 0.7500
Sr 0.8092 0.1908 0.2500
Ac 0.4235 0.5765 0.7500
Ac 0.5765 0.4235 0.2500
Al 0.0340 0.9660 0.7500
Al 0.9660 0.0340 0.2500


Run R
Density functional theory data (PBE) for a relaxed SrAcAl crystal.

Output
As for the density of states at the Fermi level: 1.23 states/eV/atom.

Cell: 7.6761 7.6761 7.6761 Å, 150.02 150.02 42.92°
Element x y z (fractional)
Sr 0.0000 0.0000 0.0000
Ac 0.2676 0.2676 0.0000
Al 0.6395 0.6395 0.0000


Run S
Density functional theory data (PBE) for a relaxed SrAcAl crystal.

Output
As for the density of states at the Fermi level: 1.02 states/eV/atom.

Cell: 5.5664 5.5664 5.5664 Å, 60.00 60.00 60.00°
Element x y z (fractional)
Sr 0.0000 0.0000 0.0000
Ac 0.5000 0.5000 0.5000
Al 0.7500 0.7500 0.7500


Structures ranked by computed energy, the most stable listed first: run Q, run R, run S, run P.